A geometry-optimized In2Ag structure. Source: the Alexandria database, functional PBE-GGA.

The calculation puts the formation enthalpy at 0 K at 318 meV per atom. Its crystal system is cubic.

a = 8.5317 Å, b = 8.5317 Å, c = 8.5317 Å
α = 90.00°, β = 90.00°, γ = 90.00°
Space group Fd-3m (No. 227, origin choice 2)
Unique sites:
In  0.0000  0.0000  0.0000 x16
Ag  0.1250  0.1250  0.6250 x8